The following is a DFT calculation (PBE) of crystalline BeCrBr2 at its relaxed geometry.

The formation energy without anion corrections comes out at 330 meV/atom. As for the raw total energy: -46.12 eV for the cell shown. For the total magnetization, the calculation gives 12.16 μB/cell.

It has space group R-3m (No. 166, hexagonal axes), with a = 3.6889 Å, b = 3.6889 Å, c = 23.6634 Å, α = 90.00°, β = 90.00° and γ = 120.00°. The distinct sites, in fractional coordinates, are Be at (0.0000, 0.0000, 0.0000), Cr at (0.0000, 0.0000, 0.5000) and Br at (0.0000, 0.0000, 0.0933).